DFT (PBE) results for an optimized crystal structure of Ho5Er2Sn4.

Results
- Crystal system: monoclinic
- Uncorrected energy: -104.334 eV for the cell shown
- Formation energy: -376 meV per atom

Cell lengths 20.9610, 4.3078, 7.6081 Å; angles 90.00, 103.19, 90.00 degrees
Closest atoms and distances in Å follow each position.
Space group C2/m (No. 12)
Symmetry-distinct sites (fractional):
Ho 0.0000 0.0000 0.0000 x2  4 Sn 3.06
Ho 0.1424 0.5000 0.9634 x4  3 Sn 3.14-3.22, 2 Er 3.49
Ho 0.1780 0.5000 0.4586 x4  4 Sn 3.08-3.18
Er 0.0733 0.0000 0.6099 x4  5 Sn 3.01-3.24, 1 Er 3.14
Sn 0.0287 0.5000 0.2923 x4  3 Ho 3.06-3.10, 4 Er 3.21-3.24
Sn 0.2186 0.0000 0.7711 x4  1 Er 3.01, 6 Ho 3.08-3.22


DFT (PBE) results for an optimized crystal structure of Nd5Tl8Cd.

Results
- Crystal system: tetragonal
- Uncorrected energy: -93.565 eV for the cell shown
- Formation energy: -221 meV per atom

Cell lengths 9.5639, 9.5639, 9.2518 Å; angles 90.00, 90.00, 90.00 degrees
Closest atoms and distances in Å follow each position.
Space group I-4 (No. 82)
Symmetry-distinct sites (fractional):
Nd 0.0000 0.0000 0.0000 x2  8 Tl 3.27-3.30
Nd 0.1140 0.2565 0.3625 x8  8 Tl 3.26-3.37
Tl 0.0744 0.1791 0.7048 x8  1 Cd 3.18, 1 Tl 3.26, 5 Nd 3.27-3.37
Tl 0.0814 0.3313 0.0201 x8  1 Cd 3.07, 1 Tl 3.26, 5 Nd 3.26-3.36
Cd 0.0000 0.5000 0.7500 x2  8 Tl 3.07-3.18


DFT (PBE) results for an optimized crystal structure of RbAsIBr2.

Results
- Crystal system: tetragonal
- Uncorrected energy: -11.362 eV for the cell shown
- E_form (uncorrected): -0.1699 eV per atom
- Relative energy among the computed polymorphs: 0.5945 eV per atom

Cell lengths 6.4708, 6.4708, 5.2180 Å; angles 90.00, 90.00, 90.00 degrees
Closest atoms and distances in Å follow each position.
Space group P4/mmm (No. 123)
Symmetry-distinct sites (fractional):
Rb 0.0000 0.0000 0.0000 x1  8 Br 4.16, 4 As 4.58
As 0.5000 0.5000 0.0000 x1  2 I 2.61
I 0.5000 0.5000 0.5000 x1  2 As 2.61
Br 0.0000 0.5000 0.5000 x2  2 I 3.24


DFT (PBE) results for an optimized crystal structure of TbCd2Rh.

Results
- Crystal system: tetragonal
- Uncorrected energy: -15.153 eV for the cell shown
- Formation energy: -335 meV per atom

Cell lengths 4.0789, 4.0789, 5.0701 Å; angles 90.00, 90.00, 90.00 degrees
Closest atoms and distances in Å follow each position.
Space group P4/mmm (No. 123)
Symmetry-distinct sites (fractional):
Tb 0.0000 0.0000 0.0000 x1  4 Rh 2.88
Cd 0.0000 0.5000 0.5000 x2  4 Cd 2.88
Rh 0.5000 0.5000 0.0000 x1  4 Tb 2.88


DFT (PBE) results for an optimized crystal structure of La2Ga4Ni3.

Results
- Crystal system: orthorhombic
- Uncorrected energy: -173.584 eV for the cell shown
- Formation energy: -454 meV per atom

Cell lengths 5.2844, 9.8121, 12.7884 Å; angles 90.00, 90.00, 90.00 degrees
Closest atoms and distances in Å follow each position.
Space group Fmmm (No. 69)
Symmetry-distinct sites (fractional):
La 0.0000 0.0000 0.1294 x8  6 Ni 3.12-3.24, 8 Ga 3.17-3.28, 1 La 3.31
Ga 0.0000 0.1766 0.3474 x16  3 Ni 2.46-2.61
Ni 0.0000 0.0000 0.5000 x4  4 Ga 2.61, 4 Ni 2.79
Ni 0.2500 0.2500 0.0000 x8  4 Ga 2.46, 2 Ni 2.64


DFT (PBE) results for an optimized crystal structure of Li2ScPt.

Results
- Crystal system: trigonal
- Uncorrected energy: -50.495 eV for the cell shown
- Formation energy: -158 meV per atom
- Relative energy among the computed polymorphs: 0.4208 eV per atom

Cell lengths 2.8797, 2.8797, 28.7862 Å; angles 90.00, 90.00, 120.00 degrees
Closest atoms and distances in Å follow each position.
Space group R-3m (No. 166, hexagonal axes)
Symmetry-distinct sites (fractional):
Li 0.0000 0.0000 0.2381 x6  3 Pt 2.64, 6 Li 2.88
Sc 0.0000 0.0000 0.0000 x3  6 Sc 2.88, 6 Li 3.21
Pt 0.0000 0.0000 0.5000 x3  6 Li 2.64, 6 Pt 2.88


DFT (PBE) results for an optimized crystal structure of NaRuBr3.

Results
- Crystal system: cubic
- Uncorrected energy: -13.398 eV for the cell shown
- E_form (uncorrected): 0.4430 eV per atom
- Relative energy among the computed polymorphs: 0.8204 eV per atom

Cell lengths 5.2991, 5.2991, 5.2991 Å; angles 90.00, 90.00, 90.00 degrees
Closest atoms and distances in Å follow each position.
Space group Pm-3m (No. 221)
Symmetry-distinct sites (fractional):
Na 0.0000 0.0000 0.0000 x1  6 Br 2.65
Ru 0.5000 0.5000 0.5000 x1  12 Br 3.75
Br 0.0000 0.0000 0.5000 x3  2 Na 2.65


DFT (PBE) results for an optimized crystal structure of ScSnTe3.

Results
- Crystal system: cubic
- Uncorrected energy: -21.130 eV for the cell shown
- E_form (uncorrected): -0.2741 eV per atom
- Relative energy among the computed polymorphs: 0.4013 eV per atom

Cell lengths 5.5462, 5.5462, 5.5462 Å; angles 90.00, 90.00, 90.00 degrees
Closest atoms and distances in Å follow each position.
Space group Pm-3m (No. 221)
Symmetry-distinct sites (fractional):
Sc 0.0000 0.0000 0.0000 x1  6 Te 2.77
Sn 0.5000 0.5000 0.5000 x1  12 Te 3.92
Te 0.0000 0.0000 0.5000 x3  2 Sc 2.77


Short version: volume = 30.4; 30.2; 43.7; 21.1; 18.4; 17.2; 29.8; 34.1 A^3/atom, in the order given.